First-principles (PBE) data for a relaxed structure of LiPm8Co2, as listed in Alexandria via LeMat-Bulk.

Summary:
D(E_F), states/eV per cell: 13.7
Total moment, μB per cell: 0.0
Mass density, g/cm³: 6.7
SG: Cm, No. 8
Electronic total energy, eV/atom: -4.864
Energy of formation from the pure elements, eV/atom: 0.06
Crystal system: monoclinic

Cell: 5.7422 8.0017 8.0017 Å, 116.51 97.02 97.02°
Fractional positions:
Co 0.5001 0.7128 0.2935
Co 0.5001 0.2935 0.7128
Pm 0.7972 0.6032 0.6032
Pm 0.4317 0.9218 0.6628
Pm 0.2031 0.4030 0.4030
Pm 0.5682 0.0843 0.3435
Pm 0.0001 0.7541 0.2517
Pm 0.4317 0.6628 0.9218
Pm 0.5682 0.3435 0.0843
Pm 0.0001 0.2517 0.7541
Li 0.9992 0.0033 0.0033